The following is a PBE calculation of a relaxed structure of Li2MnOs, from the Alexandria database.

Summary:
Energy relative to the elements, eV per atom: 0.2032
Total magnetization, μB per formula unit: 1.7
Excess energy over the best structure of this formula in the dataset, eV per atom: 0.021

a b c (Å): 2.614 3.849 5.507
angles (deg): 90.00 90.00 90.00
Space group Pmm2 (No. 25)
Asymmetric unit:
1 Li 0.000 0.000 0.000 (multiplicity 1)
2 Li 0.500 0.500 0.228 (multiplicity 1)
3 Mn 0.000 0.000 0.539 (multiplicity 1)
4 Os 0.500 0.500 0.703 (multiplicity 1)